No. 1
This record from the Alexandria database describes a relaxed NpU3Te6 crystal. The functional is PBE.

Values from the calculation:
The energy relative to the elements, uncorrected comes out at -0.563 eV per atom.

Unit cell a=12.376 b=4.232 c=12.994 alpha=90.00 beta=108.23 gamma=90.00
Space group P2_1/m (No. 11)
Asymmetric unit:
Np1 0.043 0.250 0.193 [2 per cell]
U1 0.132 0.250 0.568 [2 per cell]
U2 0.319 0.750 0.992 [2 per cell]
U3 0.425 0.250 0.341 [2 per cell]
Te1 0.098 0.750 0.390 [2 per cell]
Te2 0.118 0.250 0.965 [2 per cell]
Te3 0.194 0.750 0.746 [2 per cell]
Te4 0.252 0.750 0.212 [2 per cell]
Te5 0.387 0.250 0.568 [2 per cell]
Te6 0.491 0.250 0.128 [2 per cell]

***

No. 2
This record from the Alexandria database describes a relaxed NpUTe3 crystal. The functional is PBE.

Values from the calculation:
The energy relative to the elements, uncorrected comes out at -0.662 eV per atom.

Unit cell a=8.270 b=4.329 c=16.912 alpha=90.00 beta=90.00 gamma=90.00
Space group Pnma (No. 62)
Asymmetric unit:
Np1 0.109 0.250 0.207 [4 per cell]
U1 0.235 0.750 0.459 [4 per cell]
Te1 0.002 0.750 0.607 [4 per cell]
Te2 0.119 0.750 0.069 [4 per cell]
Te3 0.168 0.250 0.779 [4 per cell]

***

> Which formula does entry 1 have?

NpU3Te6